# LaReAs3, optimized geometry, DFT PBE
data_LaReAs3
_symmetry_space_group_name_H-M 'P 1'
_symmetry_Int_Tables_number 1
_cell_length_a 5.572
_cell_length_b 5.572
_cell_length_c 5.572
_cell_angle_alpha 90.00
_cell_angle_beta 90.00
_cell_angle_gamma 90.00
loop_
_symmetry_equiv_pos_as_xyz
'x,y,z'
loop_
_atom_site_label
_atom_site_type_symbol
_atom_site_fract_x
_atom_site_fract_y
_atom_site_fract_z
La1 La 0.000 0.000 0.000
Re1 Re 0.500 0.500 0.500
As1 As 0.000 0.000 0.500
As2 As 0.000 0.500 0.000
As3 As 0.500 0.000 0.000
# ρ ... 5.3 g/cm³
# Total magnetization ... 4.5 μB per formula unit
# D(E_F) ... 1.282 states/eV per atom
# Space group ... No. 221
# Offset from the most stable computed form ... 1818 meV per atom
# DFT formation energy ... 1.716 eV/atom